Entry 1:
! Li2HfMnOs (GGA-PBEsol, optimized geometry); values from VASP
! Crystal system ... tetragonal
&SYSTEM
  ibrav = 0, nat = 5, ntyp = 4
/
ATOMIC_SPECIES
Li 6.94 Li.upf
Hf 178.49 Hf.upf
Mn 54.94 Mn.upf
Os 190.23 Os.upf
ATOMIC_POSITIONS crystal
Li 0.000 0.500 0.000
Li 0.500 0.000 0.000
Hf 0.000 0.000 0.500
Mn 0.500 0.500 0.500
Os 0.000 0.000 0.000
CELL_PARAMETERS angstrom
4.620 0.000 0.000
0.000 4.620 0.000
0.000 0.000 4.826

---

Entry 2:
! Li2HfMo (GGA-PBEsol, optimized geometry); values from VASP
! Crystal system ... tetragonal
&SYSTEM
  ibrav = 0, nat = 8, ntyp = 3
/
ATOMIC_SPECIES
Li 6.94 Li.upf
Hf 178.49 Hf.upf
Mo 95.94 Mo.upf
ATOMIC_POSITIONS crystal
Li 0.106 0.625 0.981
Li 0.375 0.356 0.481
Li 0.644 0.125 0.019
Li 0.875 0.894 0.519
Hf 0.250 0.750 0.500
Hf 0.500 0.500 0.000
Mo 0.000 0.000 0.000
Mo 0.750 0.250 0.500
CELL_PARAMETERS angstrom
-1.838 1.838 10.697
1.838 -1.838 10.697
1.838 1.838 -10.697

---

Entry 3:
! LiHf2Mo (GGA-PBEsol, optimized geometry); values from VASP
! Crystal system ... cubic
&SYSTEM
  ibrav = 0, nat = 4, ntyp = 3
/
ATOMIC_SPECIES
Li 6.94 Li.upf
Hf 178.49 Hf.upf
Mo 95.94 Mo.upf
ATOMIC_POSITIONS crystal
Li 0.000 0.000 0.000
Hf 0.250 0.250 0.250
Hf 0.750 0.750 0.750
Mo 0.500 0.500 0.500
CELL_PARAMETERS angstrom
0.000 3.267 3.267
3.267 0.000 3.267
3.267 3.267 0.000

---

Entry 4:
! Li2HfN2 (GGA-PBEsol, optimized geometry); values from VASP
! E_form (uncorrected) ... -1326.6 meV per atom
! Crystal system ... trigonal
&SYSTEM
  ibrav = 0, nat = 5, ntyp = 3
/
ATOMIC_SPECIES
Li 6.94 Li.upf
Hf 178.49 Hf.upf
N 14.01 N.upf
ATOMIC_POSITIONS crystal
Li 0.333 0.667 0.118
Li 0.667 0.333 0.882
Hf 0.000 0.000 0.500
N 0.333 0.667 0.721
N 0.667 0.333 0.279
CELL_PARAMETERS angstrom
3.221 0.000 0.000
-1.611 2.790 0.000
0.000 0.000 5.411

---

Entry 5:
! NaLi2HfN (GGA-PBEsol, optimized geometry); values from VASP
! E_form (uncorrected) ... 1404.2 meV per atom
! Crystal system ... tetragonal
&SYSTEM
  ibrav = 0, nat = 5, ntyp = 4
/
ATOMIC_SPECIES
Na 22.99 Na.upf
Li 6.94 Li.upf
Hf 178.49 Hf.upf
N 14.01 N.upf
ATOMIC_POSITIONS crystal
Na 0.000 0.000 0.000
Li 0.000 0.500 0.000
Li 0.500 0.000 0.000
Hf 0.000 0.000 0.500
N 0.500 0.500 0.500
CELL_PARAMETERS angstrom
3.569 0.000 0.000
0.000 3.569 0.000
0.000 0.000 6.055

---

Entry 6:
! LiHfNO2 (GGA-PBEsol, optimized geometry); values from VASP
! E_form (uncorrected) ... -1460.0 meV per atom
! Crystal system ... tetragonal
&SYSTEM
  ibrav = 0, nat = 5, ntyp = 4
/
ATOMIC_SPECIES
Li 6.94 Li.upf
Hf 178.49 Hf.upf
N 14.01 N.upf
O 16.00 O.upf
ATOMIC_POSITIONS crystal
Li 0.000 0.000 0.000
Hf 0.500 0.500 0.500
N 0.500 0.500 0.000
O 0.000 0.500 0.500
O 0.500 0.000 0.500
CELL_PARAMETERS angstrom
4.062 0.000 0.000
0.000 4.062 0.000
0.000 0.000 4.265

---

no.,total energy (eV per cell)
1,-31.00
2,-47.52
3,-34.55
4,-38.12
5,-17.34
6,-38.79